(1)
First-principles (PBE) data for a relaxed Cs3Tl2Cd crystal, as listed in Alexandria via LeMat-Bulk.

Unit cell a=9.6297 b=11.5437 c=15.3229 alpha=90.00 beta=129.01 gamma=90.00
Closest atoms and distances in Å follow each position.
Fractional coordinates of all 24 atoms:
Cs  0.4572  0.8924  0.1019  2 Cd 3.93-4.00, 4 Tl 4.00-4.12, 1 Cs 4.40
Cs  0.0428  0.3924  0.3981  2 Cd 3.93-4.00, 4 Tl 4.00-4.12, 1 Cs 4.40
Cs  0.5428  0.1076  0.8981  2 Cd 3.93-4.00, 4 Tl 4.00-4.12, 1 Cs 4.40
Cs  0.9572  0.6076  0.6019  2 Cd 3.93-4.00, 4 Tl 4.00-4.12, 1 Cs 4.40
Cs  0.3519  0.5193  0.1832  3 Cd 3.99-4.20, 3 Tl 4.05-4.28, 1 Cs 4.33
Cs  0.1481  0.0193  0.3168  3 Cd 3.99-4.20, 3 Tl 4.05-4.28, 1 Cs 4.33
Cs  0.6481  0.4807  0.8168  3 Cd 3.99-4.20, 3 Tl 4.05-4.28, 1 Cs 4.33
Cs  0.8519  0.9807  0.6832  3 Cd 3.99-4.20, 3 Tl 4.05-4.28, 1 Cs 4.33
Cs  0.9194  0.6821  0.1730  4 Tl 3.97-4.13, 2 Cs 4.33-4.40, 1 Cd 4.40
Cs  0.5806  0.1821  0.3270  4 Tl 3.97-4.13, 2 Cs 4.33-4.40, 1 Cd 4.40
Cs  0.0806  0.3179  0.8270  4 Tl 3.97-4.13, 2 Cs 4.33-4.40, 1 Cd 4.40
Cs  0.4194  0.8179  0.6730  4 Tl 3.97-4.13, 2 Cs 4.33-4.40, 1 Cd 4.40
Tl  0.8964  0.8903  0.4305  1 Cd 3.08, 1 Tl 3.10
Tl  0.6036  0.3903  0.0695  1 Cd 3.08, 1 Tl 3.10
Tl  0.1036  0.1097  0.5695  1 Cd 3.08, 1 Tl 3.10
Tl  0.3964  0.6097  0.9305  1 Cd 3.08, 1 Tl 3.10
Tl  0.4268  0.6198  0.4643  1 Tl 2.98, 1 Cd 3.10
Tl  0.0732  0.1198  0.0357  1 Tl 2.98, 1 Cd 3.10
Tl  0.5732  0.3802  0.5357  1 Tl 2.98, 1 Cd 3.10
Tl  0.9268  0.8802  0.9643  1 Tl 2.98, 1 Cd 3.10
Cd  0.5534  0.8141  0.3897  2 Tl 3.08-3.10
Cd  0.9466  0.3141  0.1103  2 Tl 3.08-3.10
Cd  0.4466  0.1859  0.6103  2 Tl 3.08-3.10
Cd  0.0534  0.6859  0.8897  2 Tl 3.08-3.10

Output
- crystal system = monoclinic
- total energy (eV/atom) = -1.39
- symmetry = P2_1/c

---

(2)
First-principles (PBE) data for a relaxed Cs4Tl2Cd crystal, as listed in Alexandria via LeMat-Bulk.

Unit cell a=8.4067 b=9.3526 c=12.3514 alpha=73.09 beta=70.12 gamma=63.28
Closest atoms and distances in Å follow each position.
Fractional coordinates of all 14 atoms:
Cs  0.7855  0.1273  0.8751  2 Cd 4.07-4.25, 4 Tl 4.10-4.40, 2 Cs 4.18-4.22
Cs  0.7857  0.6228  0.3750  2 Cd 4.07-4.25, 4 Tl 4.10-4.40, 2 Cs 4.19-4.22
Cs  0.2841  0.1275  0.8734  2 Cd 4.06-4.24, 4 Tl 4.09-4.39, 2 Cs 4.18-4.22
Cs  0.8471  0.1241  0.2512  1 Tl 3.96, 2 Cd 4.12-4.40
Cs  0.3478  0.6208  0.7554  1 Cd 3.98, 4 Tl 4.15-4.44
Cs  0.2872  0.6226  0.3766  2 Cd 4.06-4.23, 4 Tl 4.09-4.39, 2 Cs 4.19-4.22
Cs  0.7242  0.6261  0.9988  1 Tl 3.96, 3 Cd 4.12-4.44
Cs  0.2235  0.1291  0.4947  1 Cd 3.98, 4 Tl 4.15-4.45
Tl  0.9380  0.5137  0.6804  1 Tl 2.98
Tl  0.6334  0.2363  0.5696  1 Tl 2.98
Tl  0.2863  0.3749  0.1249  2 Cd 2.97
Tl  0.7861  0.8750  0.6249  2 Tl 2.98
Cd  0.4372  0.0147  0.1757  1 Tl 2.97
Cd  0.1340  0.7353  0.0744  1 Tl 2.97

Output
- crystal system = triclinic
- total energy (eV/atom) = -1.32
- symmetry = P1

---

(3)
First-principles (PBE) data for a relaxed CsTlCd crystal, as listed in Alexandria via LeMat-Bulk.

Unit cell a=5.3020 b=7.3325 c=10.0957 alpha=89.01 beta=74.79 gamma=43.63
Closest atoms and distances in Å follow each position.
Fractional coordinates of all 6 atoms:
Tl  0.4912  0.5080  0.9162  2 Cd 3.16, 2 Tl 3.28
Tl  0.1955  0.4060  0.7111  2 Cd 3.17, 2 Tl 3.28
Cs  0.0323  0.7374  0.3729  6 Cd 3.93-4.18, 3 Tl 4.06-4.30
Cs  0.3497  0.0789  0.0580  6 Tl 3.90-4.13, 2 Cd 4.17-4.18
Cd  0.8798  0.3141  0.5262  2 Cd 3.09-3.10, 2 Tl 3.17
Cd  0.1894  0.9081  0.7154  2 Cd 3.09-3.10, 2 Tl 3.16

Output
- crystal system = triclinic
- ΔE to the lowest computed polymorph (meV/atom) = 0
- symmetry = P1

---

(4)
First-principles (PBE) data for a relaxed Cs4Tl4Cd crystal, as listed in Alexandria via LeMat-Bulk.

Unit cell a=7.9062 b=10.0010 c=7.9062 alpha=66.72 beta=90.00 gamma=113.28
Closest atoms and distances in Å follow each position.
Fractional coordinates of all 9 atoms:
Cs  0.1893  0.7515  0.4378  3 Tl 3.87-3.93, 1 Cd 4.07, 1 Cs 4.17
Cs  0.5622  0.7515  0.8107  3 Tl 3.87-3.93, 1 Cd 4.07, 1 Cs 4.17
Cs  0.4378  0.2485  0.5622  3 Tl 3.87-3.93, 1 Cd 4.07, 1 Cs 4.17
Cs  0.8107  0.2485  0.1893  3 Tl 3.87-3.93, 1 Cd 4.07, 1 Cs 4.17
Tl  0.2995  0.2864  0.0132  1 Cd 2.95
Tl  0.9868  0.2864  0.7005  1 Cd 2.95
Tl  0.0132  0.7136  0.9868  1 Cd 2.95
Tl  0.7005  0.7136  0.2995  1 Cd 2.95
Cd  0.0000  0.0000  0.0000  4 Tl 2.95

Output
- crystal system = tetragonal
- total energy (eV/atom) = -1.46
- symmetry = I-42m

---

(5)
First-principles (PBE) data for a relaxed Cs4TlCd4 crystal, as listed in Alexandria via LeMat-Bulk.

Unit cell a=11.3128 b=11.3128 c=7.1424 alpha=90.00 beta=90.00 gamma=90.00
Closest atoms and distances in Å follow each position.
Fractional coordinates of all 18 atoms:
Cs  0.8134  0.4025  0.3908  1 Tl 3.79, 3 Cd 3.93-4.24, 1 Cs 4.24
Cs  0.9025  0.6866  0.8908  1 Tl 3.79, 3 Cd 3.93-4.24, 1 Cs 4.24
Cs  0.1866  0.5975  0.3908  1 Tl 3.79, 3 Cd 3.93-4.24, 1 Cs 4.24
Cs  0.6866  0.0975  0.1092  1 Tl 3.79, 3 Cd 3.93-4.24, 1 Cs 4.24
Cs  0.5975  0.8134  0.6092  1 Tl 3.79, 3 Cd 3.93-4.24, 1 Cs 4.24
Cs  0.3134  0.9025  0.1092  1 Tl 3.79, 3 Cd 3.93-4.24, 1 Cs 4.24
Cs  0.0975  0.3134  0.8908  1 Tl 3.79, 3 Cd 3.93-4.24, 1 Cs 4.24
Cs  0.4025  0.1866  0.6092  1 Tl 3.79, 3 Cd 3.93-4.24, 1 Cs 4.24
Tl  0.0000  0.0000  0.0000  4 Cd 3.14
Tl  0.5000  0.5000  0.5000  4 Cd 3.14
Cd  0.1416  0.9402  0.6341  3 Cd 3.12-3.48, 1 Tl 3.14
Cd  0.8584  0.0598  0.6341  3 Cd 3.12-3.48, 1 Tl 3.14
Cd  0.5598  0.6416  0.1341  3 Cd 3.12-3.48, 1 Tl 3.14
Cd  0.6416  0.4402  0.8659  3 Cd 3.12-3.48, 1 Tl 3.14
Cd  0.3584  0.5598  0.8659  3 Cd 3.12-3.48, 1 Tl 3.14
Cd  0.0598  0.1416  0.3659  3 Cd 3.12-3.48, 1 Tl 3.14
Cd  0.9402  0.8584  0.3659  3 Cd 3.12-3.48, 1 Tl 3.14
Cd  0.4402  0.3584  0.1341  3 Cd 3.12-3.48, 1 Tl 3.14

Output
- crystal system = tetragonal
- total energy (eV/atom) = -1.06
- symmetry = P4_2/n

---

(6)
First-principles (PBE) data for a relaxed CsTl3Cd3 crystal, as listed in Alexandria via LeMat-Bulk.

Unit cell a=4.7548 b=9.0082 c=12.2270 alpha=116.93 beta=90.00 gamma=90.00
Closest atoms and distances in Å follow each position.
Fractional coordinates of all 14 atoms:
Cs  0.7500  0.3806  0.7113  9 Cd 3.63-3.94, 3 Tl 3.79-3.85
Cs  0.2500  0.6194  0.2887  9 Cd 3.63-3.94, 3 Tl 3.79-3.85
Tl  0.7500  0.8489  0.9982  2 Cd 3.22, 7 Tl 3.45-3.60
Tl  0.7500  0.2612  0.2458  5 Tl 3.30-3.59, 5 Cd 3.35-3.67
Tl  0.7500  0.0034  0.7719  4 Cd 3.24-3.45, 5 Tl 3.30-3.62
Tl  0.2500  0.1511  0.0018  2 Cd 3.22, 7 Tl 3.45-3.60
Tl  0.2500  0.7388  0.7542  5 Tl 3.30-3.59, 5 Cd 3.35-3.67
Tl  0.2500  0.9966  0.2281  4 Cd 3.24-3.45, 5 Tl 3.30-3.62
Cd  0.7500  0.0099  0.4129  2 Tl 3.24, 2 Cd 3.25
Cd  0.7500  0.3993  0.0145  2 Cd 3.11, 3 Tl 3.22-3.45
Cd  0.7500  0.6324  0.5387  2 Cd 3.19, 3 Tl 3.27-3.35
Cd  0.2500  0.9901  0.5871  2 Tl 3.24, 2 Cd 3.25
Cd  0.2500  0.6007  0.9855  2 Cd 3.11, 3 Tl 3.22-3.45
Cd  0.2500  0.3676  0.4613  2 Cd 3.19, 3 Tl 3.27-3.35

Output
- crystal system = monoclinic
- ΔE to the lowest computed polymorph (meV/atom) = 0
- symmetry = P2_1/m

---

(7)
First-principles (PBE) data for a relaxed CsTl5Cd2 crystal, as listed in Alexandria via LeMat-Bulk.

Unit cell a=5.0345 b=7.9594 c=7.9594 alpha=66.55 beta=71.56 gamma=71.56
Closest atoms and distances in Å follow each position.
Fractional coordinates of all 8 atoms:
Cs  0.0000  0.0000  0.0000  4 Cd 4.02, 10 Tl 4.07-4.37
Tl  0.0000  0.5000  0.5000  2 Cd 3.02
Tl  0.6388  0.5525  0.1698  3 Cd 3.05-3.30, 1 Tl 3.34
Tl  0.3612  0.4475  0.8302  3 Cd 3.05-3.30, 1 Tl 3.34
Tl  0.3612  0.8302  0.4475  3 Cd 3.05-3.30, 1 Tl 3.34
Tl  0.6388  0.1698  0.5525  3 Cd 3.05-3.30, 1 Tl 3.34
Cd  0.7545  0.7455  0.7455  7 Tl 3.02-3.30
Cd  0.2455  0.2545  0.2545  7 Tl 3.02-3.30

Output
- crystal system = orthorhombic
- total energy (eV/atom) = -1.84
- symmetry = Immm

---

(8)
First-principles (PBE) data for a relaxed Cs2TlCd7 crystal, as listed in Alexandria via LeMat-Bulk.

Unit cell a=5.3261 b=5.3261 c=11.9450 alpha=90.00 beta=90.00 gamma=90.00
Closest atoms and distances in Å follow each position.
Fractional coordinates of all 10 atoms:
Cs  0.5000  0.0000  0.7459  15 Cd 3.97-4.36, 2 Tl 4.04
Cs  0.0000  0.5000  0.2541  15 Cd 3.97-4.36, 2 Tl 4.04
Tl  0.5000  0.5000  0.0000  4 Cd 3.08
Cd  0.0000  0.5000  0.8699  3 Cd 3.00-3.08, 2 Tl 3.08
Cd  0.5000  0.0000  0.3812  5 Cd 3.00-3.02
Cd  0.5000  0.0000  0.1301  3 Cd 3.00-3.08, 2 Tl 3.08
Cd  0.0000  0.5000  0.6188  5 Cd 3.00-3.02
Cd  0.0000  0.0000  0.5000  4 Cd 3.02
Cd  0.0000  0.0000  0.0000  4 Cd 3.08
Cd  0.5000  0.5000  0.5000  4 Cd 3.02

Output
- crystal system = tetragonal
- total energy (eV/atom) = -1.09
- symmetry = P-4m2

---

(9)
First-principles (PBE) data for a relaxed CsTl3Cd crystal, as listed in Alexandria via LeMat-Bulk.

Unit cell a=6.7736 b=6.7736 c=6.7736 alpha=90.00 beta=90.00 gamma=90.00
Closest atoms and distances in Å follow each position.
Fractional coordinates of all 5 atoms:
Cs  0.0000  0.0000  0.0000  6 Tl 3.39
Tl  0.0000  0.5000  0.0000  2 Cs 3.39
Tl  0.0000  0.0000  0.5000  2 Cs 3.39
Tl  0.5000  0.0000  0.0000  2 Cs 3.39
Cd  0.5000  0.5000  0.5000  12 Tl 4.79

Output
- crystal system = cubic
- ΔE to the lowest computed polymorph (meV/atom) = 895
- symmetry = Pm-3m

---

(10)
First-principles (PBE) data for a relaxed CsTlCd2 crystal, as listed in Alexandria via LeMat-Bulk.

Unit cell a=5.9991 b=5.9991 c=11.2983 alpha=74.60 beta=74.60 gamma=90.00
Closest atoms and distances in Å follow each position.
Fractional coordinates of all 8 atoms:
Cs  0.5000  0.5000  0.0000  4 Tl 4.24, 8 Cd 4.25-4.26
Cs  0.2500  0.7500  0.5000  4 Tl 4.24, 8 Cd 4.25-4.26
Tl  0.0000  0.0000  0.0000  4 Cd 3.02
Tl  0.7500  0.2500  0.5000  4 Cd 3.02
Cd  0.8760  0.1250  0.2500  2 Cd 3.00, 2 Tl 3.02
Cd  0.8740  0.6250  0.2500  2 Cd 3.00, 2 Tl 3.02
Cd  0.3750  0.1240  0.7500  2 Cd 3.00, 2 Tl 3.02
Cd  0.8750  0.1260  0.7500  2 Cd 3.00, 2 Tl 3.02

Output
- crystal system = tetragonal
- ΔE to the lowest computed polymorph (meV/atom) = 131
- symmetry = I-42d

---

(11)
First-principles (PBE) data for a relaxed CsTl3Cd crystal, as listed in Alexandria via LeMat-Bulk.

Unit cell a=5.9164 b=5.9164 c=5.9164 alpha=90.00 beta=90.00 gamma=90.00
Closest atoms and distances in Å follow each position.
Fractional coordinates of all 5 atoms:
Cs  0.5000  0.5000  0.5000  12 Tl 4.18
Tl  0.0000  0.5000  0.0000  2 Cd 2.96
Tl  0.0000  0.0000  0.5000  2 Cd 2.96
Tl  0.5000  0.0000  0.0000  2 Cd 2.96
Cd  0.0000  0.0000  0.0000  6 Tl 2.96

Output
- crystal system = cubic
- ΔE to the lowest computed polymorph (meV/atom) = 182
- symmetry = Pm-3m

---

(12)
First-principles (PBE) data for a relaxed Cs2TlCd2 crystal, as listed in Alexandria via LeMat-Bulk.

Unit cell a=12.5827 b=12.5827 c=12.5827 alpha=160.32 beta=160.32 gamma=27.97
Closest atoms and distances in Å follow each position.
Fractional coordinates of all 5 atoms:
Cs  0.6086  0.6086  0.0000  4 Tl 4.03, 4 Cd 4.07, 4 Cs 4.30
Cs  0.3914  0.3914  0.0000  4 Tl 4.03, 4 Cd 4.07, 4 Cs 4.30
Tl  0.0000  0.0000  0.0000  8 Cs 4.03, 4 Tl 4.30
Cd  0.7500  0.2500  0.5000  4 Cd 3.04
Cd  0.2500  0.7500  0.5000  4 Cd 3.04

Output
- crystal system = tetragonal
- ΔE to the lowest computed polymorph (meV/atom) = 114
- symmetry = I4/mmm